1.
# SCAN AsRhC2, single point on PBEsol structure
# **ΔH_f (0 K)**: 828 meV per atom
data_AsRhC2
_chemical_formula_sum 'As4 Rh4 C8'
_cell_length_a 4.6985
_cell_length_b 4.6985
_cell_length_c 8.6368
_cell_angle_alpha 90.00
_cell_angle_beta 90.00
_cell_angle_gamma 90.00
_space_group_name_H-M_alt 'I -4 2 d'
_space_group_IT_number 122
_space_group_name_Hall 'I -4 2bw'
loop_
_atom_site_label
_atom_site_type_symbol
_atom_site_fract_x
_atom_site_fract_y
_atom_site_fract_z
As1 As 0.0000 0.0000 0.0000
Rh1 Rh 0.0000 0.0000 0.5000
C1 C 0.2382 0.2500 0.1250

---

2.
# SCAN As3RhC, single point on PBEsol structure
# **ΔH_f (0 K)**: 1785 meV per atom
data_As3RhC
_chemical_formula_sum 'As3 Rh1 C1'
_cell_length_a 4.6736
_cell_length_b 4.6736
_cell_length_c 4.6736
_cell_angle_alpha 90.00
_cell_angle_beta 90.00
_cell_angle_gamma 90.00
_space_group_name_H-M_alt 'P m -3 m'
_space_group_IT_number 221
_space_group_name_Hall '-P 4 2 3'
loop_
_atom_site_label
_atom_site_type_symbol
_atom_site_fract_x
_atom_site_fract_y
_atom_site_fract_z
As1 As 0.0000 0.0000 0.5000
Rh1 Rh 0.0000 0.0000 0.0000
C1 C 0.5000 0.5000 0.5000

---

3.
# SCAN ScAsRhC2, single point on PBEsol structure
# **ΔH_f (0 K)**: 1848 meV per atom
data_ScAsRhC2
_chemical_formula_sum 'Sc1 As1 Rh1 C2'
_cell_length_a 3.8721
_cell_length_b 3.8721
_cell_length_c 4.9951
_cell_angle_alpha 90.00
_cell_angle_beta 90.00
_cell_angle_gamma 90.00
_space_group_name_H-M_alt 'P 4/m m m'
_space_group_IT_number 123
_space_group_name_Hall '-P 4 2'
loop_
_atom_site_label
_atom_site_type_symbol
_atom_site_fract_x
_atom_site_fract_y
_atom_site_fract_z
Sc1 Sc 0.0000 0.0000 0.0000
As1 As 0.0000 0.0000 0.5000
Rh1 Rh 0.5000 0.5000 0.0000
C1 C 0.0000 0.5000 0.5000